(1)
KRb2CoAs: relaxed, PBE.

Structure (CIF):
```
data_KRb2CoAs
_space_group_name_H-M_alt 'P 4/m m m'
_space_group_IT_number 123
_space_group_name_Hall '-P 4 2'
_cell_length_a 6.248
_cell_length_b 6.248
_cell_length_c 6.048
_cell_angle_alpha 90.00
_cell_angle_beta 90.00
_cell_angle_gamma 90.00
loop_
_atom_site_label
_atom_site_fract_x
_atom_site_fract_y
_atom_site_fract_z
K1 0.000 0.000 0.000
Rb1 0.000 0.500 0.500
Co1 0.000 0.000 0.500
As1 0.500 0.500 0.000
```

- formation enthalpy at 0 K (eV/atom) = 0.76

***

(2)
La2Pr2Tm3: relaxed, PBE.

Structure (CIF):
```
data_La2Pr2Tm3
_space_group_name_H-M_alt 'P 1 2/m 1'
_space_group_IT_number 10
_space_group_name_Hall '-P 2y'
_cell_length_a 5.753
_cell_length_b 3.490
_cell_length_c 12.192
_cell_angle_alpha 90.00
_cell_angle_beta 103.55
_cell_angle_gamma 90.00
loop_
_atom_site_label
_atom_site_fract_x
_atom_site_fract_y
_atom_site_fract_z
La1 0.148 0.000 0.297
Pr1 0.427 0.500 0.852
Tm1 0.000 0.500 0.000
Tm2 0.285 0.500 0.570
```

- formation enthalpy at 0 K (eV/atom) = 0.12

***

(3)
MgMnIn2: relaxed, PBE.

Structure (CIF):
```
data_MgMnIn2
_space_group_name_H-M_alt 'C m m m'
_space_group_IT_number 65
_space_group_name_Hall '-C 2 2'
_cell_length_a 6.194
_cell_length_b 8.457
_cell_length_c 3.144
_cell_angle_alpha 90.00
_cell_angle_beta 90.00
_cell_angle_gamma 90.00
loop_
_atom_site_label
_atom_site_fract_x
_atom_site_fract_y
_atom_site_fract_z
Mg1 0.000 0.000 0.000
Mn1 0.000 0.500 0.000
In1 0.250 0.250 0.500
```

- formation enthalpy at 0 K (eV/atom) = 0.12

***

(4)
ScFeAu2: relaxed, PBE.

Structure (CIF):
```
data_ScFeAu2
_space_group_name_H-M_alt 'F -4 3 m'
_space_group_IT_number 216
_space_group_name_Hall 'F -4 2 3'
_cell_length_a 6.503
_cell_length_b 6.503
_cell_length_c 6.503
_cell_angle_alpha 90.00
_cell_angle_beta 90.00
_cell_angle_gamma 90.00
loop_
_atom_site_label
_atom_site_fract_x
_atom_site_fract_y
_atom_site_fract_z
Sc1 0.000 0.000 0.000
Fe1 0.250 0.250 0.750
Au1 0.000 0.000 0.500
Au2 0.250 0.250 0.250
```

- formation enthalpy at 0 K (eV/atom) = -0.21

***

(5)
LiPmPu: relaxed, PBE.

Structure (CIF):
```
data_LiPmPu
_space_group_name_H-M_alt 'I 4 m m'
_space_group_IT_number 107
_space_group_name_Hall 'I 4 -2'
_cell_length_a 3.351
_cell_length_b 3.351
_cell_length_c 14.740
_cell_angle_alpha 90.00
_cell_angle_beta 90.00
_cell_angle_gamma 90.00
loop_
_atom_site_label
_atom_site_fract_x
_atom_site_fract_y
_atom_site_fract_z
Li1 0.000 0.000 0.000
Pm1 0.000 0.000 0.667
Pu1 0.000 0.000 0.343
```

- formation enthalpy at 0 K (eV/atom) = 0.26
- polymorph energy (0 for the lowest one) (eV/f.u.) = 0.17

***

(6)
BaVH: relaxed, PBE.

Structure (CIF):
```
data_BaVH
_space_group_name_H-M_alt 'P -1'
_space_group_IT_number 2
_space_group_name_Hall '-P 1'
_cell_length_a 3.516
_cell_length_b 3.970
_cell_length_c 9.896
_cell_angle_alpha 97.15
_cell_angle_beta 98.68
_cell_angle_gamma 92.60
loop_
_atom_site_label
_atom_site_fract_x
_atom_site_fract_y
_atom_site_fract_z
Ba1 0.208 0.246 0.284
V1 0.338 0.303 0.955
H1 0.301 0.283 0.766
```

- polymorph energy (0 for the lowest one) (eV/f.u.) = 0.00

***

(7)
CsBiAuCl6: relaxed, PBE.

Structure (CIF):
```
data_CsBiAuCl6
_space_group_name_H-M_alt 'C 1 2 1'
_space_group_IT_number 5
_space_group_name_Hall 'C 2y'
_cell_length_a 7.600
_cell_length_b 11.822
_cell_length_c 7.675
_cell_angle_alpha 90.00
_cell_angle_beta 95.85
_cell_angle_gamma 90.00
loop_
_atom_site_label
_atom_site_fract_x
_atom_site_fract_y
_atom_site_fract_z
Cs1 0.000 0.000 0.000
Bi1 0.000 0.350 0.500
Au1 0.000 0.696 0.500
Cl1 0.125 0.548 0.701
Cl2 0.154 0.220 0.741
Cl3 0.185 0.842 0.661
```

***

(8)
NaMg4Ga4: relaxed, PBE.

Structure (CIF):
```
data_NaMg4Ga4
_space_group_name_H-M_alt 'P 42/n'
_space_group_IT_number 86
_cell_length_a 9.134
_cell_length_b 9.134
_cell_length_c 5.448
_cell_angle_alpha 90.00
_cell_angle_beta 90.00
_cell_angle_gamma 90.00
loop_
_space_group_symop_operation_xyz
'x,y,z'
'-x,-y,-z'
'-y,x+1/2,z+1/2'
'y,-x+1/2,-z+1/2'
'-x+1/2,-y+1/2,z'
'x+1/2,y+1/2,-z'
'y+1/2,-x,z+1/2'
'-y+1/2,x,-z+1/2'
loop_
_atom_site_label
_atom_site_fract_x
_atom_site_fract_y
_atom_site_fract_z
Na1 0.250 0.250 0.250
Mg1 0.122 0.628 0.138
Ga1 0.072 0.574 0.647
```

- formation enthalpy at 0 K (eV/atom) = 0.00

***

(9)
Hf2Ta2Cd: relaxed, PBE.

Structure (CIF):
```
data_Hf2Ta2Cd
_space_group_name_H-M_alt 'P 4/m b m'
_space_group_IT_number 127
_space_group_name_Hall '-P 4 2ab'
_cell_length_a 7.430
_cell_length_b 7.430
_cell_length_c 3.847
_cell_angle_alpha 90.00
_cell_angle_beta 90.00
_cell_angle_gamma 90.00
loop_
_atom_site_label
_atom_site_fract_x
_atom_site_fract_y
_atom_site_fract_z
Hf1 0.169 0.331 0.000
Ta1 0.126 0.626 0.500
Cd1 0.000 0.000 0.500
```

- formation enthalpy at 0 K (eV/atom) = 0.27

***

(10)
TmHgI6: relaxed, PBE.

Structure (CIF):
```
data_TmHgI6
_space_group_name_H-M_alt 'P -1'
_space_group_IT_number 2
_space_group_name_Hall '-P 1'
_cell_length_a 7.573
_cell_length_b 7.795
_cell_length_c 7.872
_cell_angle_alpha 110.18
_cell_angle_beta 95.78
_cell_angle_gamma 117.23
loop_
_atom_site_label
_atom_site_fract_x
_atom_site_fract_y
_atom_site_fract_z
Tm1 0.000 0.000 0.000
Hg1 0.500 0.000 0.500
I1 0.202 0.811 0.775
I2 0.256 0.144 0.411
I3 0.277 0.449 0.052
```

***

(11)
LiSbPtRh: relaxed, PBE.

Structure (CIF):
```
data_LiSbPtRh
_space_group_name_H-M_alt 'F -4 3 m'
_space_group_IT_number 216
_space_group_name_Hall 'F -4 2 3'
_cell_length_a 6.281
_cell_length_b 6.281
_cell_length_c 6.281
_cell_angle_alpha 90.00
_cell_angle_beta 90.00
_cell_angle_gamma 90.00
loop_
_atom_site_label
_atom_site_fract_x
_atom_site_fract_y
_atom_site_fract_z
Li1 0.000 0.000 0.000
Sb1 0.000 0.000 0.500
Pt1 0.250 0.250 0.750
Rh1 0.250 0.250 0.250
```

***

(12)
PrDyHo2Sb4: relaxed, PBE.

Structure (CIF):
```
data_PrDyHo2Sb4
_space_group_name_H-M_alt 'I 4/m m m'
_space_group_IT_number 139
_space_group_name_Hall '-I 4 2'
_cell_length_a 6.253
_cell_length_b 6.253
_cell_length_c 12.507
_cell_angle_alpha 90.00
_cell_angle_beta 90.00
_cell_angle_gamma 90.00
loop_
_atom_site_label
_atom_site_fract_x
_atom_site_fract_y
_atom_site_fract_z
Pr1 0.000 0.000 0.000
Dy1 0.000 0.000 0.500
Ho1 0.000 0.500 0.250
Sb1 0.000 0.000 0.254
Sb2 0.000 0.500 0.000
```

***

(13)
YAl10Fe2: relaxed, PBE.

Structure (CIF):
```
data_YAl10Fe2
_space_group_name_H-M_alt 'C m c m'
_space_group_IT_number 63
_space_group_name_Hall '-C 2c 2'
_cell_length_a 8.934
_cell_length_b 10.126
_cell_length_c 8.978
_cell_angle_alpha 90.00
_cell_angle_beta 90.00
_cell_angle_gamma 90.00
loop_
_atom_site_label
_atom_site_fract_x
_atom_site_fract_y
_atom_site_fract_z
Y1 0.000 0.126 0.250
Al1 0.000 0.158 0.597
Al2 0.000 0.375 0.049
Al3 0.151 0.371 0.750
Al4 0.226 0.360 0.250
Al5 0.227 0.000 0.000
Fe1 0.250 0.250 0.000
```

- formation enthalpy at 0 K (eV/atom) = -0.36

***

(14)
TbPr2Ho7: relaxed, PBE.

Structure (CIF):
```
data_TbPr2Ho7
_space_group_name_H-M_alt 'P -1'
_space_group_IT_number 2
_space_group_name_Hall '-P 1'
_cell_length_a 6.165
_cell_length_b 7.134
_cell_length_c 7.970
_cell_angle_alpha 77.18
_cell_angle_beta 74.99
_cell_angle_gamma 73.49
loop_
_atom_site_label
_atom_site_fract_x
_atom_site_fract_y
_atom_site_fract_z
Tb1 0.000 0.000 0.000
Pr1 0.202 0.298 0.601
Ho1 0.000 0.500 0.000
Ho2 0.199 0.800 0.602
Ho3 0.399 0.101 0.197
Ho4 0.400 0.601 0.198
```

- formation enthalpy at 0 K (eV/atom) = 0.02
- polymorph energy (0 for the lowest one) (eV/f.u.) = 0.00

***

(15)
Ac2NiPt: relaxed, PBE.

Structure (CIF):
```
data_Ac2NiPt
_space_group_name_H-M_alt 'P 1 21/m 1'
_space_group_IT_number 11
_space_group_name_Hall '-P 2yb'
_cell_length_a 6.085
_cell_length_b 4.554
_cell_length_c 8.258
_cell_angle_alpha 90.00
_cell_angle_beta 109.60
_cell_angle_gamma 90.00
loop_
_atom_site_label
_atom_site_fract_x
_atom_site_fract_y
_atom_site_fract_z
Ac1 0.230 0.250 0.430
Ac2 0.230 0.250 0.935
Ni1 0.340 0.750 0.209
Pt1 0.335 0.750 0.709
```

- formation enthalpy at 0 K (eV/atom) = -0.70

***

(16)
Ag5BS4: relaxed, PBE.

Structure (CIF):
```
data_Ag5BS4
_space_group_name_H-M_alt 'P m m n'
_space_group_IT_number 59
_cell_length_a 7.265
_cell_length_b 9.403
_cell_length_c 5.586
_cell_angle_alpha 90.00
_cell_angle_beta 90.00
_cell_angle_gamma 90.00
loop_
_space_group_symop_operation_xyz
'x,y,z'
'-x,-y,-z'
'-x+1/2,-y+1/2,z'
'x+1/2,y+1/2,-z'
'x+1/2,-y,-z'
'-x+1/2,y,z'
'-x,y+1/2,-z'
'x,-y+1/2,z'
loop_
_atom_site_label
_atom_site_fract_x
_atom_site_fract_y
_atom_site_fract_z
Ag1 0.046 0.081 0.222
Ag2 0.250 0.250 0.592
B1 0.250 0.750 0.285
S1 0.018 0.750 0.109
S2 0.250 0.582 0.484
```

- polymorph energy (0 for the lowest one) (eV/f.u.) = 0.00

***

(17)
PrMg5Ag6: relaxed, PBE.

Structure (CIF):
```
data_PrMg5Ag6
_space_group_name_H-M_alt 'P 1 2/m 1'
_space_group_IT_number 10
_space_group_name_Hall '-P 2y'
_cell_length_a 4.849
_cell_length_b 6.953
_cell_length_c 7.629
_cell_angle_alpha 90.00
_cell_angle_beta 108.51
_cell_angle_gamma 90.00
loop_
_atom_site_label
_atom_site_fract_x
_atom_site_fract_y
_atom_site_fract_z
Pr1 0.000 0.000 0.000
Mg1 0.000 0.500 0.000
Mg2 0.329 0.000 0.656
Mg3 0.343 0.500 0.679
Ag1 0.173 0.270 0.352
Ag2 0.500 0.274 0.000
```

- formation enthalpy at 0 K (eV/atom) = -0.21

***

(18)
Ba2AsO: relaxed, PBE.

Structure (CIF):
```
data_Ba2AsO
_space_group_name_H-M_alt 'F m -3 m'
_space_group_IT_number 225
_space_group_name_Hall '-F 4 2 3'
_cell_length_a 7.638
_cell_length_b 7.638
_cell_length_c 7.638
_cell_angle_alpha 90.00
_cell_angle_beta 90.00
_cell_angle_gamma 90.00
loop_
_atom_site_label
_atom_site_fract_x
_atom_site_fract_y
_atom_site_fract_z
Ba1 0.250 0.250 0.250
As1 0.000 0.000 0.000
O1 0.000 0.000 0.500
```

- polymorph energy (0 for the lowest one) (eV/f.u.) = 1.79

***

(19)
Na6Hg23Bi: relaxed, PBE.

Structure (CIF):
```
data_Na6Hg23Bi
_space_group_name_H-M_alt 'F m -3 m'
_space_group_IT_number 225
_space_group_name_Hall '-F 4 2 3'
_cell_length_a 14.714
_cell_length_b 14.714
_cell_length_c 14.714
_cell_angle_alpha 90.00
_cell_angle_beta 90.00
_cell_angle_gamma 90.00
loop_
_atom_site_label
_atom_site_fract_x
_atom_site_fract_y
_atom_site_fract_z
Na1 0.000 0.000 0.248
Hg1 0.000 0.000 0.000
Hg2 0.000 0.250 0.250
Hg3 0.130 0.130 0.370
Hg4 0.132 0.132 0.132
Bi1 0.000 0.000 0.500
```

- formation enthalpy at 0 K (eV/atom) = -0.15

***

(20)
KEu2Pt: relaxed, PBE.

Structure (CIF):
```
data_KEu2Pt
_space_group_name_H-M_alt 'R -3 m'
_space_group_IT_number 166
_space_group_name_Hall '-R 3 2"'
_cell_length_a 4.2722
_cell_length_b 4.2722
_cell_length_c 34.0320
_cell_angle_alpha 90.00
_cell_angle_beta 90.00
_cell_angle_gamma 120.00
loop_
_atom_site_label
_atom_site_fract_x
_atom_site_fract_y
_atom_site_fract_z
K1 0.0000 0.0000 0.0000
Eu1 0.0000 0.0000 0.1204
Pt1 0.0000 0.0000 0.5000
```

- formation enthalpy at 0 K (eV/atom) = -0.45

***

no.,N(E_F) (states/eV per cell),spin magnetization (Bohr magnetons per cell),total DFT energy (no corrections) (eV per cell)
1,4.70,3.00,-11.0
2,9.93,0.00,-32.0
3,4.46,7.36,-31.5
4,26.76,9.67,-88.8
5,18.71,12.15,-40.5
6,2.93,0.00,-27.7
7,1.57,2.08,-55.6
8,9.32,0.00,-39.6
9,6.78,0.00,-86.4
10,2.30,0.95,-19.2
11,14.57,0.00,-86.0
12,2.48,0.00,-88.1
13,18.58,0.00,-262.0
14,13.99,0.00,-46.0
15,4.66,0.00,-45.7
16,1.40,0.00,-77.1
17,4.36,0.00,-32.3
18,19.02,4.00,-71.2
19,34.39,0.00,-93.2
20,76.08,42.67,-88.5